i) ## HIrPb3 (PBE)

Data for HIrPb3 after structural relaxation.

The space group is Pm-3m. The density of states at the Fermi level comes out at 5.3 states/eV/f.u.

Cell lengths 5.3432, 5.3432, 5.3432 Å; angles 90.00, 90.00, 90.00 degrees
With the nearest neighbours (Å) after each atom.
Positions (direct):
Pb 0.0000 0.5000 0.0000  2 Ir 2.67
Pb 0.0000 0.0000 0.5000  2 Ir 2.67
Pb 0.5000 0.0000 0.0000  2 Ir 2.67
H 0.5000 0.5000 0.5000  12 Pb 3.78
Ir 0.0000 0.0000 0.0000  6 Pb 2.67



ii) ## HIrPb3 (PBE)

Data for HIrPb3 after structural relaxation.

The space group is Pm-3m. The density of states at the Fermi level comes out at 3.3 states/eV/f.u.

Cell lengths 4.7157, 4.7157, 4.7157 Å; angles 90.00, 90.00, 90.00 degrees
With the nearest neighbours (Å) after each atom.
Positions (direct):
Pb 0.0000 0.5000 0.0000  2 H 2.36
Pb 0.0000 0.0000 0.5000  2 H 2.36
Pb 0.5000 0.0000 0.0000  2 H 2.36
H 0.0000 0.0000 0.0000  6 Pb 2.36
Ir 0.5000 0.5000 0.5000  12 Pb 3.33



Last place for stability: i)



i) ## HIrPd2 (PBE)

Data for HIrPd2 after structural relaxation.

The space group is R-3m. The density of states at the Fermi level comes out at 3.0 states/eV/f.u.

Cell lengths 2.7246, 2.7246, 7.9466 Å; angles 80.13, 80.13, 60.00 degrees
With the nearest neighbours (Å) after each atom.
Positions (direct):
H 0.5000 0.5000 0.5000  6 Pd 2.01
Ir 0.0000 0.0000 0.0000  2 Pd 2.64, 6 Ir 2.72
Pd 0.1129 0.1129 0.6614  3 H 2.01
Pd 0.8871 0.8871 0.3386  3 H 2.01



ii) ## HIrPd2 (PBE)

Data for HIrPd2 after structural relaxation.

The space group is I-42d. The density of states at the Fermi level comes out at 0.6 states/eV/f.u.

Cell lengths 6.0056, 6.0056, 5.0674 Å; angles 53.66, 53.66, 90.00 degrees
With the nearest neighbours (Å) after each atom.
Positions (direct):
H 0.5000 0.5000 0.0000  4 Pd 1.87
H 0.2500 0.7500 0.5000  4 Pd 1.87
Ir 0.0000 0.0000 0.0000  8 Pd 2.69-2.71, 2 H 2.76
Ir 0.7500 0.2500 0.5000  8 Pd 2.69-2.71, 2 H 2.76
Pd 0.5222 0.1250 0.2500  2 H 1.87
Pd 0.2278 0.6250 0.2500  2 H 1.87
Pd 0.3750 0.4778 0.7500  2 H 1.87
Pd 0.8750 0.7722 0.7500  2 H 1.87



Last place for stability: ii)



i) ## HIrPd3 (PBE)

Data for HIrPd3 after structural relaxation.

The space group is Pm-3m. The density of states at the Fermi level comes out at 5.9 states/eV/f.u.

Cell lengths 4.8808, 4.8808, 4.8808 Å; angles 90.00, 90.00, 90.00 degrees
With the nearest neighbours (Å) after each atom.
Positions (direct):
H 0.5000 0.5000 0.5000  12 Pd 3.45
Ir 0.0000 0.0000 0.0000  6 Pd 2.44
Pd 0.0000 0.5000 0.0000  2 Ir 2.44
Pd 0.0000 0.0000 0.5000  2 Ir 2.44
Pd 0.5000 0.0000 0.0000  2 Ir 2.44



ii) ## HIrPd3 (PBE)

Data for HIrPd3 after structural relaxation.

The space group is Pm-3m. The density of states at the Fermi level comes out at 7.2 states/eV/f.u.

Cell lengths 3.9798, 3.9798, 3.9798 Å; angles 90.00, 90.00, 90.00 degrees
With the nearest neighbours (Å) after each atom.
Positions (direct):
H 0.0000 0.0000 0.0000  6 Pd 1.99
Ir 0.5000 0.5000 0.5000  12 Pd 2.81
Pd 0.0000 0.5000 0.0000  2 H 1.99
Pd 0.0000 0.0000 0.5000  2 H 1.99
Pd 0.5000 0.0000 0.0000  2 H 1.99



Last place for stability: i)